Fe2CoRe (PBE, optimized geometry); spin magnetization = 6.289 μB/cell; uncorrected energy = -0.66564 Ry/atom; crystal system = tetragonal
1.0
3.598 0.000 0.000
0.000 3.598 0.000
0.000 0.000 7.255
Fe Co Re
4 2 2
Direct
0.000 0.500 0.250 Fe
0.000 0.500 0.750 Fe
0.500 0.000 0.250 Fe
0.500 0.000 0.750 Fe
0.000 0.000 0.000 Co
0.500 0.500 0.500 Co
0.000 0.000 0.500 Re
0.500 0.500 0.000 Re



Fe2CoRe (PBE, optimized geometry); spin magnetization = 9.067 μB/cell; uncorrected energy = -0.66326 Ry/atom; crystal system = monoclinic
1.0
8.499 0.000 0.000
0.000 2.601 0.000
-0.799 0.000 4.356
Fe Co Re
4 2 2
Direct
0.245 0.000 0.241 Fe
0.255 0.500 0.759 Fe
0.745 0.500 0.241 Fe
0.755 0.000 0.759 Fe
0.000 0.500 0.000 Co
0.500 0.000 0.000 Co
0.000 0.000 0.500 Re
0.500 0.500 0.500 Re



FeCoRe2 (PBE, optimized geometry); spin magnetization = 1.790 μB/cell; offset from the most stable computed form = 0.1193 eV per atom; crystal system = trigonal
1.0
2.675 0.000 0.000
-1.337 2.317 0.000
0.000 0.000 25.359
Fe Co Re
3 3 6
Direct
0.000 0.000 0.000 Fe
0.333 0.667 0.667 Fe
0.667 0.333 0.333 Fe
0.000 0.000 0.500 Co
0.333 0.667 0.167 Co
0.667 0.333 0.833 Co
0.000 0.000 0.250 Re
0.000 0.000 0.750 Re
0.333 0.667 0.417 Re
0.333 0.667 0.917 Re
0.667 0.333 0.083 Re
0.667 0.333 0.583 Re



FeCo4Re (PBE, optimized geometry); spin magnetization = 5.189 μB/cell; offset from the most stable computed form = 0.0897 eV per atom; crystal system = cubic
1.0
0.000 3.251 3.251
3.251 0.000 3.251
3.251 3.251 0.000
Fe Co Re
1 4 1
Direct
0.000 0.000 0.000 Fe
0.375 0.375 0.375 Co
0.375 0.375 0.875 Co
0.375 0.875 0.375 Co
0.875 0.375 0.375 Co
0.750 0.750 0.750 Re



FeCo2Re (PBE, optimized geometry); spin magnetization = 6.075 μB/cell; offset from the most stable computed form = 0.0500 eV per atom; crystal system = orthorhombic
1.0
5.136 0.000 0.000
0.000 7.150 0.000
0.000 0.000 2.589
Fe Co Re
2 4 2
Direct
0.000 0.000 0.000 Fe
0.500 0.500 0.000 Fe
0.250 0.250 0.500 Co
0.250 0.750 0.500 Co
0.750 0.250 0.500 Co
0.750 0.750 0.500 Co
0.000 0.500 0.000 Re
0.500 0.000 0.000 Re



FeCo2Re (PBE, optimized geometry); spin magnetization = 4.348 μB/cell; offset from the most stable computed form = 0.0304 eV per atom; crystal system = tetragonal
1.0
2.634 0.000 0.000
0.000 2.634 0.000
0.000 0.000 6.927
Fe Co Re
1 2 1
Direct
0.000 0.000 0.000 Fe
0.500 0.500 0.239 Co
0.500 0.500 0.761 Co
0.000 0.000 0.500 Re



Fe14CoRe (PBE, optimized geometry); spin magnetization = 33.689 μB/cell; uncorrected energy = -0.63316 Ry/atom; crystal system = orthorhombic
1.0
2.869 -4.046 0.000
2.869 4.046 0.000
0.000 0.000 8.077
Fe Co Re
14 1 1
Direct
0.000 0.000 0.000 Fe
0.000 0.500 0.000 Fe
0.000 0.500 0.500 Fe
0.249 0.751 0.249 Fe
0.249 0.751 0.751 Fe
0.254 0.254 0.248 Fe
0.254 0.254 0.752 Fe
0.500 0.000 0.000 Fe
0.500 0.000 0.500 Fe
0.500 0.500 0.000 Fe
0.746 0.746 0.248 Fe
0.746 0.746 0.752 Fe
0.751 0.249 0.249 Fe
0.751 0.249 0.751 Fe
0.500 0.500 0.500 Co
0.000 0.000 0.500 Re



FeCo2Re (PBE, optimized geometry); spin magnetization = 0.032 μB/cell; offset from the most stable computed form = 0.3486 eV per atom; crystal system = cubic
1.0
5.717 0.000 0.000
0.000 5.717 0.000
0.000 0.000 5.717
Fe Co Re
4 8 4
Direct
0.000 0.000 0.000 Fe
0.000 0.500 0.500 Fe
0.500 0.000 0.500 Fe
0.500 0.500 0.000 Fe
0.250 0.250 0.250 Co
0.250 0.250 0.750 Co
0.250 0.750 0.250 Co
0.250 0.750 0.750 Co
0.750 0.250 0.250 Co
0.750 0.250 0.750 Co
0.750 0.750 0.250 Co
0.750 0.750 0.750 Co
0.000 0.000 0.500 Re
0.000 0.500 0.000 Re
0.500 0.000 0.000 Re
0.500 0.500 0.500 Re



Fe2CoRe (PBE, optimized geometry); spin magnetization = 14.696 μB/cell; uncorrected energy = -0.65777 Ry/atom; crystal system = trigonal
1.0
2.639 0.000 0.000
-1.320 2.286 0.000
0.000 0.000 24.629
Fe Co Re
6 3 3
Direct
0.000 0.000 0.000 Fe
0.000 0.000 0.252 Fe
0.333 0.667 0.667 Fe
0.333 0.667 0.919 Fe
0.667 0.333 0.333 Fe
0.667 0.333 0.586 Fe
0.000 0.000 0.506 Co
0.333 0.667 0.173 Co
0.667 0.333 0.840 Co
0.000 0.000 0.751 Re
0.333 0.667 0.418 Re
0.667 0.333 0.084 Re



FeCoRe2 (PBE, optimized geometry); spin magnetization = 17.038 μB/cell; offset from the most stable computed form = 0.2253 eV per atom; crystal system = cubic
1.0
5.944 0.000 0.000
0.000 5.944 0.000
0.000 0.000 5.944
Fe Co Re
4 4 8
Direct
0.000 0.000 0.000 Fe
0.000 0.500 0.500 Fe
0.500 0.000 0.500 Fe
0.500 0.500 0.000 Fe
0.000 0.000 0.500 Co
0.000 0.500 0.000 Co
0.500 0.000 0.000 Co
0.500 0.500 0.500 Co
0.250 0.250 0.250 Re
0.250 0.250 0.750 Re
0.250 0.750 0.250 Re
0.250 0.750 0.750 Re
0.750 0.250 0.250 Re
0.750 0.250 0.750 Re
0.750 0.750 0.250 Re
0.750 0.750 0.750 Re



FeCo2Re (PBE, optimized geometry); spin magnetization = 2.607 μB/cell; offset from the most stable computed form = 0.0710 eV per atom; crystal system = orthorhombic
1.0
2.580 0.000 0.000
0.000 3.585 0.000
0.000 0.000 5.086
Fe Co Re
1 2 1
Direct
0.000 0.000 0.000 Fe
0.000 0.000 0.523 Co
0.500 0.500 0.771 Co
0.500 0.500 0.270 Re



FeCo2Re (PBE, optimized geometry); spin magnetization = 7.874 μB/cell; offset from the most stable computed form = 0.0594 eV per atom; crystal system = monoclinic
1.0
8.455 0.000 0.000
0.000 2.600 0.000
-0.791 0.000 4.349
Fe Co Re
2 4 2
Direct
0.000 0.000 0.000 Fe
0.500 0.500 0.000 Fe
0.248 0.500 0.228 Co
0.491 0.000 0.485 Co
0.748 0.000 0.228 Co
0.991 0.500 0.485 Co
0.242 0.000 0.721 Re
0.742 0.500 0.721 Re



Fe2CoRe2 (PBE, optimized geometry); spin magnetization = 2.202 μB/cell; uncorrected energy = -0.69938 Ry/atom; crystal system = tetragonal
1.0
6.949 0.000 0.000
0.000 6.949 0.000
0.000 0.000 2.672
Fe Co Re
4 2 4
Direct
0.125 0.375 0.000 Fe
0.375 0.875 0.000 Fe
0.625 0.125 0.000 Fe
0.875 0.625 0.000 Fe
0.000 0.000 0.000 Co
0.500 0.500 0.000 Co
0.172 0.672 0.500 Re
0.328 0.172 0.500 Re
0.672 0.828 0.500 Re
0.828 0.328 0.500 Re



FeCo2Re (PBE, optimized geometry); spin magnetization = 3.314 μB/cell; offset from the most stable computed form = 0.5718 eV per atom; crystal system = tetragonal
1.0
3.447 0.000 0.000
0.000 3.447 0.000
0.000 0.000 16.766
Fe Co Re
4 8 4
Direct
0.000 0.000 0.000 Fe
0.000 0.500 0.250 Fe
0.500 0.000 0.750 Fe
0.500 0.500 0.500 Fe
0.228 0.250 0.125 Co
0.250 0.728 0.375 Co
0.250 0.772 0.875 Co
0.272 0.250 0.625 Co
0.728 0.750 0.625 Co
0.750 0.228 0.875 Co
0.750 0.272 0.375 Co
0.772 0.750 0.125 Co
0.000 0.000 0.500 Re
0.000 0.500 0.750 Re
0.500 0.000 0.250 Re
0.500 0.500 0.000 Re



FeCo2Re (PBE, optimized geometry); spin magnetization = 7.700 μB/cell; offset from the most stable computed form = 0.0739 eV per atom; crystal system = monoclinic
1.0
8.466 0.000 0.000
0.000 2.594 0.000
-0.787 0.000 4.353
Fe Co Re
2 4 2
Direct
0.000 0.000 0.000 Fe
0.500 0.500 0.000 Fe
0.247 0.500 0.246 Co
0.253 0.000 0.754 Co
0.747 0.000 0.246 Co
0.753 0.500 0.754 Co
0.000 0.500 0.500 Re
0.500 0.000 0.500 Re



FeCoRe3 (PBE, optimized geometry); spin magnetization = 0.000 μB/cell; offset from the most stable computed form = 0.0000 eV per atom; crystal system = cubic
1.0
4.353 0.000 0.000
0.000 4.353 0.000
0.000 0.000 4.353
Fe Co Re
1 1 3
Direct
0.000 0.000 0.000 Fe
0.500 0.500 0.500 Co
0.000 0.000 0.500 Re
0.000 0.500 0.000 Re
0.500 0.000 0.000 Re



FeCo2Re (PBE, optimized geometry); spin magnetization = 13.287 μB/cell; offset from the most stable computed form = 0.1535 eV per atom; crystal system = trigonal
1.0
2.622 0.000 0.000
-1.311 2.271 0.000
0.000 0.000 24.736
Fe Co Re
3 6 3
Direct
0.000 0.000 0.000 Fe
0.333 0.667 0.667 Fe
0.667 0.333 0.333 Fe
0.000 0.000 0.493 Co
0.000 0.000 0.746 Co
0.333 0.667 0.160 Co
0.333 0.667 0.413 Co
0.667 0.333 0.080 Co
0.667 0.333 0.826 Co
0.000 0.000 0.246 Re
0.333 0.667 0.913 Re
0.667 0.333 0.579 Re



FeCoRe2 (PBE, optimized geometry); spin magnetization = 12.494 μB/cell; offset from the most stable computed form = 0.1393 eV per atom; crystal system = trigonal
1.0
2.724 0.000 0.000
-1.362 2.359 0.000
0.000 0.000 25.336
Fe Co Re
3 3 6
Direct
0.000 0.000 0.000 Fe
0.333 0.667 0.667 Fe
0.667 0.333 0.333 Fe
0.000 0.000 0.259 Co
0.333 0.667 0.925 Co
0.667 0.333 0.592 Co
0.000 0.000 0.507 Re
0.000 0.000 0.753 Re
0.333 0.667 0.173 Re
0.333 0.667 0.419 Re
0.667 0.333 0.086 Re
0.667 0.333 0.840 Re



FeCoRe2 (PBE, optimized geometry); spin magnetization = 0.047 μB/cell; offset from the most stable computed form = 0.0182 eV per atom; crystal system = orthorhombic
1.0
2.633 0.000 0.000
0.000 3.662 0.000
0.000 0.000 5.265
Fe Co Re
1 1 2
Direct
0.000 0.000 0.000 Fe
0.000 0.000 0.500 Co
0.500 0.500 0.246 Re
0.500 0.500 0.754 Re



FeCoRe2 (PBE, optimized geometry); spin magnetization = 0.007 μB/cell; offset from the most stable computed form = 0.0180 eV per atom; crystal system = tetragonal
1.0
2.630 0.000 0.000
0.000 2.630 0.000
0.000 0.000 7.340
Fe Co Re
1 1 2
Direct
0.000 0.000 0.000 Fe
0.000 0.000 0.500 Co
0.500 0.500 0.248 Re
0.500 0.500 0.752 Re